The following is a DFT calculation (GGA-PBEsol) of BeCo2As after structural relaxation.

Cell and atoms, written as POSCAR:
```
BeCo2As
1.0
3.9359 0.0000 0.0000
0.0000 2.6960 0.0000
-1.7183 0.0000 4.0119
Be Co As
1 2 1
direct
0.0000 0.0000 0.0000
0.5000 0.0000 0.5000
0.5000 0.5000 0.0000
0.0000 0.5000 0.5000
```

crystal system: monoclinic
final energy: -6.207 eV per atom
magnetic moment: 0.037 μB per atom
energy above the lowest structure with this stoichiometry: 0.1859 eV/atom